Entry 1:
This record from Alexandria via LeMat-Bulk describes a relaxed SrNdBi2 crystal. The functional is PBE-GGA.

Properties
- calculated formation energy (eV/atom) = -0.70
- calculated volume (A^3/atom) = 33.66
- SG = Fm-3m (225)

a = 5.7531 Å, b = 5.7531 Å, c = 5.7531 Å
α = 60.00°, β = 60.00°, γ = 60.00°
Sites, in units of the cell vectors:
Bi (0.2500, 0.2500, 0.2500)
Bi (0.7500, 0.7500, 0.7500)
Nd (0.0000, 0.0000, 0.0000)
Sr (0.5000, 0.5000, 0.5000)



Entry 2:
This record from Alexandria via LeMat-Bulk describes a relaxed SrNdBi2 crystal. The functional is PBE-GGA.

Properties
- calculated formation energy (eV/atom) = -0.74
- calculated volume (A^3/atom) = 33.06
- SG = P4/mmm (123)

a = 3.5643 Å, b = 6.0909 Å, c = 6.0909 Å
α = 90.00°, β = 90.00°, γ = 90.00°
Sites, in units of the cell vectors:
Sr (0.5000, 0.0000, 0.0000)
Nd (0.5000, 0.5000, 0.5000)
Bi (0.0000, 0.0000, 0.5000)
Bi (0.0000, 0.5000, 0.0000)



Entry 3:
This record from Alexandria via LeMat-Bulk describes a relaxed SrNdBi2 crystal. The functional is PBE-GGA.

Properties
- calculated formation energy (eV/atom) = -0.71
- calculated volume (A^3/atom) = 38.73
- SG = R3m (160)

a = 4.8628 Å, b = 4.8628 Å, c = 8.0694 Å
α = 72.46°, β = 72.46°, γ = 60.00°
Sites, in units of the cell vectors:
Bi (0.2440, 0.2440, 0.2679)
Bi (0.0901, 0.0901, 0.7298)
Nd (0.4962, 0.4962, 0.5113)
Sr (0.6697, 0.6697, 0.9910)



Entry 4:
This record from Alexandria via LeMat-Bulk describes a relaxed SrNdBi2 crystal. The functional is PBE-GGA.

Properties
- calculated formation energy (eV/atom) = -0.74
- calculated volume (A^3/atom) = 33.40
- SG = P4/mmm (123)

a = 4.2663 Å, b = 4.2663 Å, c = 7.3403 Å
α = 90.00°, β = 90.00°, γ = 90.00°
Sites, in units of the cell vectors:
Nd (0.5000, 0.5000, 0.0000)
Bi (0.0000, 0.0000, 0.7672)
Bi (0.0000, 0.0000, 0.2328)
Sr (0.5000, 0.5000, 0.5000)



Entry 5:
This record from Alexandria via LeMat-Bulk describes a relaxed Sr2NdBi3 crystal. The functional is PBE-GGA.

Properties
- calculated formation energy (eV/atom) = -0.72
- calculated volume (A^3/atom) = 38.02
- SG = Immm (71)

a = 4.4026 Å, b = 6.7400 Å, c = 8.6778 Å
α = 112.85°, β = 104.69°, γ = 90.00°
Sites, in units of the cell vectors:
Bi (0.0000, 0.0000, 0.0000)
Bi (0.6549, 0.6549, 0.3097)
Bi (0.3451, 0.3451, 0.6903)
Sr (0.3267, 0.8267, 0.6533)
Sr (0.6733, 0.1733, 0.3467)
Nd (0.0000, 0.5000, 0.0000)



Entry 6:
This record from Alexandria via LeMat-Bulk describes a relaxed SrNdBi2 crystal. The functional is PBE-GGA.

Properties
- calculated formation energy (eV/atom) = -0.80
- calculated volume (A^3/atom) = 37.26
- SG = C2/m (12)

a = 4.5936 Å, b = 4.5936 Å, c = 8.5707 Å
α = 90.06°, β = 105.51°, γ = 119.94°
Sites, in units of the cell vectors:
Sr (0.0000, 0.5000, 0.5000)
Bi (0.5105, 0.2552, 0.7657)
Bi (0.4895, 0.7448, 0.2343)
Nd (0.0000, 0.0000, 0.0000)



Entry 7:
This record from Alexandria via LeMat-Bulk describes a relaxed SrNdBi crystal. The functional is PBE-GGA.

Properties
- calculated formation energy (eV/atom) = -0.37
- calculated volume (A^3/atom) = 39.43
- SG = P3m1 (156)

a = 4.7741 Å, b = 5.3490 Å, c = 5.3490 Å
α = 120.00°, β = 90.00°, γ = 90.00°
Sites, in units of the cell vectors:
Nd (0.1171, 0.0000, 0.0000)
Bi (0.2499, 0.3333, 0.6667)
Sr (0.6330, 0.6667, 0.3333)



Entry 8:
This record from Alexandria via LeMat-Bulk describes a relaxed SrNd3Bi3 crystal. The functional is PBE-GGA.

Properties
- calculated formation energy (eV/atom) = -0.73
- calculated volume (A^3/atom) = 37.20
- SG = R-3 (148)

a = 9.6512 Å, b = 9.6512 Å, c = 8.5277 Å
α = 55.54°, β = 55.54°, γ = 60.00°
Sites, in units of the cell vectors:
Nd (0.9102, 0.6503, 0.2577)
Nd (0.1818, 0.9102, 0.2577)
Nd (0.3497, 0.8182, 0.7423)
Nd (0.8182, 0.0898, 0.7423)
Nd (0.6503, 0.1818, 0.2577)
Nd (0.0898, 0.3497, 0.7423)
Bi (0.9225, 0.2931, 0.2462)
Bi (0.4618, 0.0775, 0.7538)
Bi (0.2931, 0.5382, 0.2462)
Bi (0.7069, 0.4618, 0.7538)
Bi (0.5382, 0.9225, 0.2462)
Bi (0.0775, 0.7069, 0.7538)
Sr (0.6665, 0.6665, 0.0006)
Sr (0.3335, 0.3335, 0.9994)



Entry 9:
This record from Alexandria via LeMat-Bulk describes a relaxed SrNd5Bi6 crystal. The functional is PBE-GGA.

Properties
- calculated formation energy (eV/atom) = -0.90
- calculated volume (A^3/atom) = 35.46
- SG = C2/m (12)

a = 8.0428 Å, b = 8.0463 Å, c = 8.0542 Å
α = 60.03°, β = 80.39°, γ = 70.48°
Sites, in units of the cell vectors:
Nd (0.0000, 0.6675, 0.6649)
Nd (0.5000, 0.5000, 0.0000)
Nd (0.5000, 0.1641, 0.6717)
Nd (0.0000, 0.3325, 0.3351)
Nd (0.5000, 0.8359, 0.3283)
Bi (0.2545, 0.5742, 0.3407)
Bi (0.2545, 0.9148, 0.6593)
Bi (0.7455, 0.0852, 0.3407)
Bi (0.7473, 0.7434, 0.0000)
Bi (0.7455, 0.4258, 0.6593)
Bi (0.2527, 0.2566, 0.0000)
Sr (0.0000, 0.0000, 0.0000)



Entry 10:
This record from Alexandria via LeMat-Bulk describes a relaxed SrNdBi crystal. The functional is PBE-GGA.

Properties
- calculated formation energy (eV/atom) = -0.42
- calculated volume (A^3/atom) = 38.33
- SG = Cmmm (65)

a = 5.6736 Å, b = 4.0058 Å, c = 14.3321 Å
α = 90.00°, β = 90.00°, γ = 135.09°
Sites, in units of the cell vectors:
Sr (0.1944, 0.3887, 0.8505)
Sr (0.1944, 0.3887, 0.1495)
Nd (0.6945, 0.3890, 0.6265)
Nd (0.6945, 0.3890, 0.3735)
Bi (0.1945, 0.3891, 0.5000)
Bi (0.6943, 0.3887, 0.0000)



Entry 11:
This record from Alexandria via LeMat-Bulk describes a relaxed SrNdTlBi crystal. The functional is PBE-GGA.

Properties
- calculated formation energy (eV/atom) = -0.48
- calculated volume (A^3/atom) = 32.80
- SG = F-43m (216)

a = 5.7038 Å, b = 5.7038 Å, c = 5.7038 Å
α = 60.00°, β = 60.00°, γ = 60.00°
Sites, in units of the cell vectors:
Bi (0.5000, 0.5000, 0.5000)
Tl (0.0000, 0.0000, 0.0000)
Nd (0.7500, 0.7500, 0.7500)
Sr (0.2500, 0.2500, 0.2500)



Entry 12:
This record from Alexandria via LeMat-Bulk describes a relaxed TbNdBi crystal. The functional is PBE-GGA.

Properties
- calculated formation energy (eV/atom) = -0.53
- calculated volume (A^3/atom) = 32.76
- SG = C2/m (12)

a = 4.2505 Å, b = 6.4617 Å, c = 8.6667 Å
α = 117.26°, β = 90.00°, γ = 109.20°
Sites, in units of the cell vectors:
Nd (0.5667, 0.1335, 0.8366)
Nd (0.4333, 0.8665, 0.1634)
Tb (0.1525, 0.3050, 0.5508)
Tb (0.8475, 0.6950, 0.4492)
Bi (0.1598, 0.3196, 0.1786)
Bi (0.8402, 0.6804, 0.8214)